[1]
PmSmTm (PBE, optimized geometry); ΔE to the lowest computed polymorph = 0.003 eV/f.u.; total energy = -4.63 eV per atom; ΔE_f = 6 kJ/mol of formula units; SG = Cmcm (63)
1.0
-2.166 4.237 -1.787
5.036 -0.061 -6.248
-7.167 -2.608 2.503
Sm Tm Pm
2 2 2
Direct
0.661 0.050 0.922 Sm
0.161 0.550 0.422 Sm
0.161 0.218 0.754 Tm
0.661 0.382 0.589 Tm
0.161 0.883 0.089 Pm
0.661 0.717 0.255 Pm



[2]
Pm5Sm12Tm (PBE, optimized geometry); total energy = -4.63 eV per atom; ΔE_f = 144 kJ/mol of formula units; SG = C2/m (12)
1.0
11.987 0.000 -0.003
5.994 8.691 -0.002
0.004 0.000 5.825
Sm Pm Tm
12 5 1
Direct
0.168 0.360 0.497 Sm
0.332 0.641 0.997 Sm
0.832 0.640 0.503 Sm
0.027 0.641 0.003 Sm
0.199 0.000 0.520 Sm
0.528 0.640 0.497 Sm
0.703 0.000 0.980 Sm
0.973 0.359 0.997 Sm
0.472 0.360 0.503 Sm
0.801 0.000 0.480 Sm
0.297 0.000 0.020 Sm
0.668 0.359 0.003 Sm
0.363 0.273 0.000 Pm
0.500 0.000 0.500 Pm
0.637 0.727 0.000 Pm
0.134 0.731 0.500 Pm
0.866 0.269 0.500 Pm
0.000 0.000 0.000 Tm



[3]
Pm6SmTm2 (PBE, optimized geometry); ΔE to the lowest computed polymorph = 0.000 eV/f.u.; total energy = -4.67 eV per atom; ΔE_f = 16 kJ/mol of formula units; SG = P-1 (2)
1.0
3.505 -0.325 0.823
-2.968 5.495 -8.839
3.515 0.097 16.549
Pm Tm Sm
6 2 1
Direct
0.891 0.552 0.219 Pm
0.329 0.328 0.331 Pm
0.109 0.448 0.781 Pm
0.671 0.672 0.669 Pm
0.221 0.893 0.559 Pm
0.779 0.107 0.441 Pm
0.560 0.229 0.891 Tm
0.440 0.771 0.109 Tm
0.000 0.000 0.000 Sm



Repeat the first record exactly.
PmSmTm (PBE, optimized geometry); ΔE to the lowest computed polymorph = 0.003 eV/f.u.; total energy = -4.63 eV per atom; ΔE_f = 6 kJ/mol of formula units; SG = Cmcm (63)
1.0
-2.166 4.237 -1.787
5.036 -0.061 -6.248
-7.167 -2.608 2.503
Sm Tm Pm
2 2 2
Direct
0.661 0.050 0.922 Sm
0.161 0.550 0.422 Sm
0.161 0.218 0.754 Tm
0.661 0.382 0.589 Tm
0.161 0.883 0.089 Pm
0.661 0.717 0.255 Pm